Entry 1:
The following is a PBE+U calculation of a geometry-optimized VHI2O structure, from Alexandria via LeMat-Bulk.

Cell lengths 5.738, 5.738, 3.651 Å; angles 90.00, 90.00, 90.00 degrees
Fractional positions:
I1 0.000 0.500 0.000
I2 0.500 0.000 0.000
H1 0.500 0.500 0.500
O1 0.000 0.000 0.500
V1 0.000 0.000 0.000

Computed properties:
Its space group is P4/mmm, No. 123. The energy relative to the lowest polymorph listed for this composition is 0 meV per atom. The density of states at the Fermi level is 1.9 states/eV/cell.

---

Entry 2:
The following is a PBE+U calculation of a geometry-optimized VHI2O structure, from Alexandria via LeMat-Bulk.

Cell lengths 5.471, 5.471, 3.057 Å; angles 90.00, 90.00, 90.00 degrees
Fractional positions:
I1 0.000 0.500 0.000
I2 0.500 0.000 0.000
H1 0.000 0.000 0.000
O1 0.000 0.000 0.500
V1 0.500 0.500 0.500

Computed properties:
Its space group is P4/mmm, No. 123. The energy relative to the lowest polymorph listed for this composition is 933 meV per atom. The density of states at the Fermi level is 3.6 states/eV/cell.

---

Question: density of states at the Fermi level of number 2 (VHI2O)?
Answer: 3.6 states/eV/cell

---

Question: Among the records above, which one has the lowest density of states at the Fermi level?
Answer: number 1

---

Please write out number 2 again, unchanged.
The following is a PBE+U calculation of a geometry-optimized VHI2O structure, from Alexandria via LeMat-Bulk.

Cell lengths 5.471, 5.471, 3.057 Å; angles 90.00, 90.00, 90.00 degrees
Fractional positions:
I1 0.000 0.500 0.000
I2 0.500 0.000 0.000
H1 0.000 0.000 0.000
O1 0.000 0.000 0.500
V1 0.500 0.500 0.500

Computed properties:
Its space group is P4/mmm, No. 123. The energy relative to the lowest polymorph listed for this composition is 933 meV per atom. The density of states at the Fermi level is 3.6 states/eV/cell.